PBE with a Hubbard U VFeF5, relaxed; calculated total energy = -5.707 eV per atom; total magnetic moment = 8.04 μB/f.u.; DOS(E_F) = 0.235 states/eV/atom
1.0
-3.6379 -0.3895 1.0082
-2.0619 -4.6319 -2.0846
-0.4533 -3.5818 4.1252
V Fe F
1 1 5
Direct
0.5000 0.5000 0.5000 V
0.0000 0.0000 0.0000 Fe
0.7594 0.2406 0.2406 F
0.0000 0.3064 0.6936 F
0.5000 0.0000 0.0000 F
0.0000 0.6936 0.3064 F
0.2406 0.7594 0.7594 F